Record 1
Sr2ErAl3Ga12 (PBE-GGA, relaxed); space group = No. 166; magnetic moment = 0.00 Bohr magnetons per cell; energy of formation from the pure elements = -0.0958 eV per atom
1.0
3.399 1.962 10.175
-3.399 1.962 10.175
0.000 -3.925 10.175
Sr Er Al Ga
2 1 3 12
Cartesian
0.000 0.000 4.233
0.000 0.000 26.293
0.000 0.000 15.263
-1.699 -0.981 10.175
-1.699 0.981 20.351
0.000 1.962 10.175
-1.930 -1.114 13.238
0.000 -2.343 8.801
-2.029 1.171 8.801
-2.029 -1.171 21.725
0.000 -2.229 17.288
-1.930 1.114 17.288
1.930 -1.114 13.238
0.000 2.229 13.238
2.029 1.171 8.801
2.029 -1.171 21.725
0.000 2.343 21.725
1.930 1.114 17.288

***

Record 2
Hg2PtCl (PBE-GGA, relaxed); space group = No. 65; energy relative to the lowest polymorph listed for this composition = 0.079 eV/atom; formation energy (no corrections) = 0.021 eV/atom; magnetic moment = 0.00 Bohr magnetons per cell
1.0
2.273 -2.298 0.000
2.273 2.298 0.000
0.000 0.000 7.950
Hg Pt Cl
2 1 1
Cartesian
0.000 0.000 1.782
0.000 0.000 6.168
2.273 0.000 0.000
2.273 0.000 3.975

***

Record 3
TaTi2N (PBE-GGA, relaxed); space group = No. 122; formation energy (no corrections) = -0.118 eV/atom; magnetic moment = 0.00 Bohr magnetons per cell
1.0
-2.961 2.961 3.798
2.961 -2.961 3.798
2.961 2.961 -3.798
Ta Ti N
2 4 2
Cartesian
0.000 0.000 0.000
0.000 2.961 1.899
1.480 -0.745 2.848
2.216 1.480 0.949
1.480 3.705 -0.949
0.745 1.480 4.747
2.961 0.000 1.899
0.000 0.000 3.798

***

Record 4
K4Nd3InTe8 (PBE-GGA, relaxed); space group = No. 166; formation energy (no corrections) = -1.190 eV/atom; magnetic moment = 0.00 Bohr magnetons per cell
1.0
4.582 2.646 8.278
-4.582 2.646 8.278
0.000 -5.291 8.278
K Nd In Te
4 3 1 8
Cartesian
0.000 0.000 0.000
-2.291 -1.323 8.278
-2.291 1.323 16.555
0.000 2.646 8.278
-4.582 0.000 12.417
-2.291 1.323 4.139
2.291 1.323 4.139
0.000 0.000 12.417
0.000 0.000 5.924
-2.222 -1.283 14.155
0.000 -2.566 10.678
-2.222 1.283 10.678
2.222 -1.283 14.155
0.000 2.566 14.155
2.222 1.283 10.678
0.000 0.000 18.909